[1]
Below is a geometry-optimized LiAgF4 structure, with properties calculated at the PBEsol level.

Geometry as POSCAR:
```
LiAgF4
1.0
3.408 0.000 0.000
0.000 4.534 0.026
0.000 -0.172 4.532
Ag Li F
1 1 4
Direct
0.000 0.000 0.000
0.500 0.500 0.500
0.500 0.801 0.200
0.000 0.310 0.308
0.000 0.690 0.692
0.500 0.199 0.800
```

Properties
spin magnetization = 0.49 μB per formula unit
crystal system = orthorhombic
symmetry = Cmmm
uncorrected formation energy = -959 kJ/mol of formula units
DOS(E_F) = 3.1 states/eV/f.u.
relative energy among the computed polymorphs = 70 meV per atom



[2]
Below is a geometry-optimized Na2SmPCO7 structure, with properties calculated at the PBEsol level.

Geometry as POSCAR:
```
Na2SmPCO7
1.0
5.064 0.000 0.029
0.000 7.014 0.000
-0.076 0.000 9.422
Sm P Na C O
2 2 4 2 14
Direct
0.777 0.250 0.388
0.223 0.750 0.612
0.706 0.750 0.409
0.294 0.250 0.591
0.755 0.012 0.797
0.245 0.512 0.203
0.755 0.488 0.797
0.245 0.988 0.203
0.248 0.750 0.909
0.752 0.250 0.091
0.157 0.430 0.649
0.405 0.750 0.377
0.843 0.570 0.351
0.454 0.750 0.823
0.729 0.750 0.575
0.157 0.070 0.649
0.979 0.250 0.157
0.843 0.930 0.351
0.021 0.750 0.843
0.546 0.250 0.177
0.272 0.750 0.041
0.595 0.250 0.623
0.728 0.250 0.959
0.271 0.250 0.425
```

Properties
spin magnetization = 0.00 μB per formula unit
crystal system = monoclinic
symmetry = P2_1/m
uncorrected formation energy = -2722 kJ/mol of formula units
DOS(E_F) = 0.0 states/eV/f.u.



[3]
Below is a geometry-optimized Co2SiNi structure, with properties calculated at the PBEsol level.

Geometry as POSCAR:
```
Co2SiNi
1.0
3.373 0.000 0.000
0.000 3.475 0.000
0.000 0.000 3.475
Ni Co Si
1 2 1
Direct
0.500 0.500 0.500
0.000 0.000 0.500
0.000 0.500 0.000
0.500 0.000 0.000
```

Properties
spin magnetization = 0.01 μB per formula unit
crystal system = tetragonal
symmetry = P4/mmm
uncorrected formation energy = -148 kJ/mol of formula units
DOS(E_F) = 4.9 states/eV/f.u.



[4]
Below is a geometry-optimized Tl3GeAs structure, with properties calculated at the PBEsol level.

Geometry as POSCAR:
```
Tl3GeAs
1.0
-4.250 -1.442 2.771
-0.561 -4.250 -3.074
3.073 -2.772 3.271
As Tl Ge
1 3 1
Direct
0.500 0.500 0.500
0.000 0.500 0.000
0.500 0.000 0.000
0.000 0.000 0.500
0.000 0.000 0.000
```

Properties
ΔE_f = 0.5394 eV per atom
spin magnetization = 0.00 μB per formula unit
crystal system = cubic
symmetry = Pm-3m
DOS(E_F) = 3.9 states/eV/f.u.



[5]
Below is a geometry-optimized Nb3Fe structure, with properties calculated at the PBEsol level.

Geometry as POSCAR:
```
Nb3Fe
1.0
3.784 0.000 0.000
0.000 3.784 0.000
-1.892 -1.892 4.545
Fe Nb
1 3
Direct
0.000 0.000 0.000
0.500 0.500 0.000
0.250 0.750 0.500
0.750 0.250 0.500
```

Properties
ΔE_f = 0.2266 eV per atom
spin magnetization = 1.04 μB per formula unit
crystal system = tetragonal
symmetry = I4/mmm
DOS(E_F) = 3.8 states/eV/f.u.



[6]
Below is a geometry-optimized BePd2 structure, with properties calculated at the PBEsol level.

Geometry as POSCAR:
```
BePd2
1.0
2.732 0.000 0.000
0.000 2.732 0.000
-1.366 -1.366 4.866
Pd Be
2 1
Direct
0.645 0.645 0.289
0.355 0.355 0.711
0.000 0.000 0.000
```

Properties
ΔE_f = -0.5232 eV per atom
spin magnetization = 0.00 μB per formula unit
crystal system = tetragonal
symmetry = I4/mmm
DOS(E_F) = 1.2 states/eV/f.u.



[7]
Below is a geometry-optimized IrRuRh2 structure, with properties calculated at the PBEsol level.

Geometry as POSCAR:
```
IrRuRh2
1.0
-1.056 -2.399 -0.543
-0.939 -1.527 1.988
-8.549 2.366 -0.422
Rh Ir Ru
2 1 1
Direct
0.751 0.751 0.747
0.000 0.000 0.000
0.249 0.249 0.253
0.500 0.500 0.500
```

Properties
ΔE_f = -0.0076 eV per atom
spin magnetization = 0.00 μB per formula unit
crystal system = trigonal
symmetry = R3m
DOS(E_F) = 4.1 states/eV/f.u.
relative energy among the computed polymorphs = 10 meV per atom



[8]
Below is a geometry-optimized MgBi2Pd2 structure, with properties calculated at the PBEsol level.

Geometry as POSCAR:
```
MgBi2Pd2
1.0
-1.004 -3.599 0.899
3.636 -0.771 0.977
-2.803 4.423 6.363
Bi Mg Pd
2 1 2
Direct
0.620 0.620 0.239
0.380 0.380 0.761
0.000 0.000 0.000
0.250 0.750 0.500
0.750 0.250 0.500
```

Properties
ΔE_f = -0.1181 eV per atom
spin magnetization = 0.00 μB per formula unit
crystal system = tetragonal
symmetry = I4/mmm
DOS(E_F) = 2.4 states/eV/f.u.



[9]
Below is a geometry-optimized Ir3NCl structure, with properties calculated at the PBEsol level.

Geometry as POSCAR:
```
Ir3NCl
1.0
-3.338 0.356 -2.359
-2.105 -2.349 2.624
-1.123 3.345 2.094
Ir N Cl
3 1 1
Direct
0.500 0.000 0.000
0.000 0.500 0.000
0.000 0.000 0.500
0.000 0.000 0.000
0.500 0.500 0.500
```

Properties
spin magnetization = 0.00 μB per formula unit
crystal system = cubic
symmetry = Pm-3m
uncorrected formation energy = 597 kJ/mol of formula units
DOS(E_F) = 6.2 states/eV/f.u.



[10]
Below is a geometry-optimized CrGeBr2F structure, with properties calculated at the PBEsol level.

Geometry as POSCAR:
```
CrGeBr2F
1.0
3.863 0.000 0.000
0.000 5.514 0.000
0.000 0.000 5.514
Ge Br F Cr
1 2 1 1
Direct
0.500 0.000 0.000
0.000 0.500 0.000
0.000 0.000 0.500
0.000 0.000 0.000
0.500 0.500 0.500
```

Properties
spin magnetization = 4.93 μB per formula unit
crystal system = tetragonal
symmetry = P4/mmm
uncorrected formation energy = -22 kJ/mol of formula units
DOS(E_F) = 2.4 states/eV/f.u.



[11]
Below is a geometry-optimized Sr3PbO structure, with properties calculated at the PBEsol level.

Geometry as POSCAR:
```
Sr3PbO
1.0
5.125 0.000 0.000
0.000 5.125 0.000
0.000 0.000 5.125
Sr Pb O
3 1 1
Direct
0.500 0.500 0.000
0.000 0.500 0.500
0.500 0.000 0.500
0.000 0.000 0.000
0.500 0.500 0.500
```

Properties
spin magnetization = 0.00 μB per formula unit
crystal system = cubic
symmetry = Pm-3m
uncorrected formation energy = -728 kJ/mol of formula units
DOS(E_F) = 0.2 states/eV/f.u.



[12]
Below is a geometry-optimized CoPtIO2 structure, with properties calculated at the PBEsol level.

Geometry as POSCAR:
```
CoPtIO2
1.0
3.716 0.000 0.000
0.000 3.716 0.000
0.000 0.000 7.520
I Pt Co O
1 1 1 2
Direct
0.000 0.000 0.500
0.000 0.000 0.000
0.500 0.500 0.500
0.000 0.500 0.000
0.500 0.000 0.000
```

Properties
spin magnetization = 1.95 μB per formula unit
crystal system = tetragonal
symmetry = P4/mmm
uncorrected formation energy = 163 kJ/mol of formula units
DOS(E_F) = 5.5 states/eV/f.u.